# NiOs

A geometry-optimized NiOs structure (PBEsol, Alexandria via LeMat-Bulk).

Cell: 9.411 2.675 4.417 Å, 90.00 117.86 90.00°
Space group C2/m (No. 12)
Symmetry-distinct sites (fractional):
Ni 0.128 0.000 0.299
Os 0.123 0.500 0.800

Values from the calculation:
formation energy from the elements: 0.151 eV/atom
raw total energy: -9.04 eV per atom
crystal system: monoclinic